NaTi2Ag after structural relaxation. Source: Alexandria via LeMat-Bulk, functional PBE.

Cell: 3.802 3.802 11.206 Å, 80.23 80.23 90.00°
Positions (direct):
1 Na 0.500 0.500 0.000
2 Na 0.250 0.750 0.500
3 Ti 0.375 0.363 0.750
4 Ti 0.113 0.625 0.250
5 Ti 0.875 0.887 0.750
6 Ti 0.637 0.125 0.250
7 Ag 0.000 0.000 0.000
8 Ag 0.750 0.250 0.500

- Raw total energy: -4.35 eV/atom
- Energy of formation: 0.6384 eV/atom



NaTiAg2 after structural relaxation. Source: Alexandria via LeMat-Bulk, functional PBE.

Cell: 3.053 3.053 8.428 Å, 90.00 90.00 90.00°
Positions (direct):
1 Na 0.500 0.500 0.500
2 Ag 0.000 0.000 0.223
3 Ag 0.000 0.000 0.777
4 Ti 0.500 0.500 0.000

- Raw total energy: -3.63 eV/atom
- Energy of formation: 0.0950 eV/atom



NaTiAg2 after structural relaxation. Source: Alexandria via LeMat-Bulk, functional PBE.

Cell: 7.584 7.584 6.122 Å, 51.72 51.72 90.00°
Positions (direct):
1 Ag 0.375 0.364 0.750
2 Ag 0.114 0.625 0.250
3 Ag 0.636 0.125 0.250
4 Ag 0.875 0.886 0.750
5 Na 0.500 0.500 0.000
6 Na 0.250 0.750 0.500
7 Ti 0.750 0.250 0.500
8 Ti 0.000 0.000 0.000

- Raw total energy: -3.19 eV/atom
- Energy of formation: 0.5367 eV/atom



NaTi4Ag2 after structural relaxation. Source: Alexandria via LeMat-Bulk, functional PBE.

Cell: 4.666 4.666 7.525 Å, 71.94 71.94 90.00°
Positions (direct):
1 Ti 0.806 0.806 0.387
2 Ti 0.500 0.000 0.000
3 Ti 0.194 0.194 0.613
4 Ti 0.000 0.500 0.000
5 Ag 0.613 0.613 0.774
6 Ag 0.387 0.387 0.226
7 Na 0.000 0.000 0.000

- Raw total energy: -4.27 eV/atom
- Energy of formation: 1.2481 eV/atom



NaTiAg2 after structural relaxation. Source: Alexandria via LeMat-Bulk, functional PBE.

Cell: 4.748 4.748 4.748 Å, 60.00 60.00 60.00°
Positions (direct):
1 Ag 0.750 0.750 0.750
2 Ag 0.250 0.250 0.250
3 Ti 0.500 0.500 0.500
4 Na 0.000 0.000 0.000

- Raw total energy: -3.44 eV/atom
- Energy of formation: 0.2870 eV/atom



Na3TiAg after structural relaxation. Source: Alexandria via LeMat-Bulk, functional PBE.

Cell: 5.422 5.422 5.422 Å, 90.00 90.00 90.00°
Positions (direct):
1 Ag 0.000 0.000 0.000
2 Ti 0.500 0.500 0.500
3 Na 0.500 0.000 0.000
4 Na 0.000 0.500 0.000
5 Na 0.000 0.000 0.500

- Raw total energy: -2.01 eV/atom
- Energy of formation: 0.9347 eV/atom



Na3TiAg after structural relaxation. Source: Alexandria via LeMat-Bulk, functional PBE.

Cell: 5.913 5.913 5.913 Å, 90.00 90.00 90.00°
Positions (direct):
1 Ti 0.000 0.000 0.000
2 Na 0.500 0.000 0.000
3 Na 0.000 0.500 0.000
4 Na 0.000 0.000 0.500
5 Ag 0.500 0.500 0.500

- Raw total energy: -1.80 eV/atom
- Energy of formation: 1.1401 eV/atom



NaTi2Ag after structural relaxation. Source: Alexandria via LeMat-Bulk, functional PBE.

Cell: 4.744 4.744 4.744 Å, 60.00 60.00 60.00°
Positions (direct):
1 Ti 0.250 0.250 0.250
2 Ti 0.750 0.750 0.750
3 Na 0.000 0.000 0.000
4 Ag 0.500 0.500 0.500

- Raw total energy: -4.39 eV/atom
- Energy of formation: 0.6018 eV/atom



NaTiZnAg2 after structural relaxation. Source: Alexandria via LeMat-Bulk, functional PBE.

Cell: 4.955 4.902 4.955 Å, 90.00 90.00 90.00°
Positions (direct):
1 Ag 0.500 0.000 0.000
2 Ag 0.000 0.000 0.500
3 Na 0.500 0.500 0.500
4 Zn 0.000 0.000 0.000
5 Ti 0.000 0.500 0.000

- Raw total energy: -2.70 eV/atom
- Energy of formation: 0.5414 eV/atom



NaTiZnAg2 after structural relaxation. Source: Alexandria via LeMat-Bulk, functional PBE.

Cell: 5.149 5.814 5.149 Å, 90.00 90.00 90.00°
Positions (direct):
1 Ti 0.000 0.000 0.000
2 Ag 0.000 0.000 0.500
3 Ag 0.500 0.000 0.000
4 Zn 0.500 0.500 0.500
5 Na 0.000 0.500 0.000

- Raw total energy: -2.19 eV/atom
- Energy of formation: 1.0509 eV/atom



NaTiZnAg2 after structural relaxation. Source: Alexandria via LeMat-Bulk, functional PBE.

Cell: 5.158 5.123 5.158 Å, 90.00 90.00 90.00°
Positions (direct):
1 Ag 0.500 0.000 0.000
2 Ag 0.000 0.000 0.500
3 Ti 0.000 0.000 0.000
4 Na 0.500 0.500 0.500
5 Zn 0.000 0.500 0.000

- Raw total energy: -2.57 eV/atom
- Energy of formation: 0.6682 eV/atom



Na12TlAg6 after structural relaxation. Source: Alexandria via LeMat-Bulk, functional PBE.

Cell: 7.945 7.945 7.945 Å, 88.43 88.43 88.43°
Positions (direct):
1 Na 0.190 0.470 0.580
2 Na 0.420 0.810 0.530
3 Na 0.151 0.382 0.027
4 Na 0.470 0.580 0.190
5 Na 0.530 0.420 0.810
6 Na 0.580 0.190 0.470
7 Na 0.973 0.849 0.618
8 Na 0.027 0.151 0.382
9 Na 0.382 0.027 0.151
10 Na 0.849 0.618 0.973
11 Na 0.810 0.530 0.420
12 Na 0.618 0.973 0.849
13 Ag 0.254 0.108 0.736
14 Ag 0.264 0.746 0.892
15 Ag 0.108 0.736 0.254
16 Ag 0.746 0.892 0.264
17 Ag 0.892 0.264 0.746
18 Ag 0.736 0.254 0.108
19 Tl 0.000 0.000 0.000

- Raw total energy: -1.86 eV/atom
- Energy of formation: -0.0064 eV/atom



Na6Tl8Ag after structural relaxation. Source: Alexandria via LeMat-Bulk, functional PBE.

Cell: 8.672 8.672 8.344 Å, 58.69 58.69 60.00°
Positions (direct):
1 Na 0.056 0.552 0.176
2 Na 0.216 0.056 0.176
3 Na 0.552 0.216 0.176
4 Na 0.944 0.448 0.824
5 Na 0.448 0.784 0.824
6 Na 0.784 0.944 0.824
7 Tl 0.148 0.148 0.555
8 Tl 0.225 0.678 0.693
9 Tl 0.678 0.405 0.693
10 Tl 0.775 0.322 0.307
11 Tl 0.595 0.775 0.307
12 Tl 0.852 0.852 0.445
13 Tl 0.322 0.595 0.307
14 Tl 0.405 0.225 0.693
15 Ag 0.000 0.000 0.000

- Raw total energy: -2.03 eV/atom
- Energy of formation: -0.0512 eV/atom



NaTl2Ag2 after structural relaxation. Source: Alexandria via LeMat-Bulk, functional PBE.

Cell: 8.564 8.564 3.378 Å, 90.00 90.00 90.00°
Positions (direct):
1 Ag 0.843 0.343 0.500
2 Ag 0.157 0.657 0.500
3 Ag 0.657 0.843 0.500
4 Ag 0.343 0.157 0.500
5 Na 0.500 0.500 0.000
6 Na 0.000 0.000 0.000
7 Tl 0.858 0.642 0.000
8 Tl 0.642 0.142 0.000
9 Tl 0.358 0.858 0.000
10 Tl 0.142 0.358 0.000

- Raw total energy: -2.30 eV/atom
- Energy of formation: 0.0542 eV/atom



Na3Tl4Ag after structural relaxation. Source: Alexandria via LeMat-Bulk, functional PBE.

Cell: 4.803 7.952 7.782 Å, 120.72 107.97 90.00°
Positions (direct):
1 Ag 0.500 0.000 0.000
2 Na 0.861 0.861 0.722
3 Na 0.139 0.139 0.278
4 Na 0.000 0.500 0.000
5 Tl 0.648 0.436 0.296
6 Tl 0.352 0.140 0.704
7 Tl 0.648 0.860 0.296
8 Tl 0.352 0.564 0.704

- Raw total energy: -2.02 eV/atom
- Energy of formation: 0.0130 eV/atom



Na12TlAg2 after structural relaxation. Source: Alexandria via LeMat-Bulk, functional PBE.

Cell: 6.498 6.498 25.716 Å, 90.00 90.00 90.00°
Positions (direct):
1 Na 0.183 0.683 0.563
2 Na 0.183 0.317 0.437
3 Na 0.000 0.000 0.801
4 Na 0.000 0.000 0.671
5 Na 0.817 0.683 0.437
6 Na 0.000 0.000 0.329
7 Na 0.683 0.183 0.437
8 Na 0.750 0.250 0.909
9 Na 0.500 0.500 0.801
10 Na 0.317 0.817 0.437
11 Na 0.817 0.317 0.563
12 Na 0.500 0.500 0.671
13 Na 0.250 0.750 0.091
14 Na 0.750 0.250 0.091
15 Na 0.250 0.250 0.091
16 Na 0.000 0.000 0.199
17 Na 0.250 0.750 0.909
18 Na 0.250 0.250 0.909
19 Na 0.750 0.750 0.091
20 Na 0.317 0.183 0.563
21 Na 0.500 0.500 0.329
22 Na 0.750 0.750 0.909
23 Na 0.683 0.817 0.563
24 Na 0.500 0.500 0.199
25 Ag 0.500 0.000 0.821
26 Ag 0.500 0.000 0.179
27 Ag 0.000 0.500 0.179
28 Ag 0.000 0.500 0.821
29 Tl 0.000 0.500 0.000
30 Tl 0.500 0.000 0.000

- Raw total energy: -1.47 eV/atom
- Energy of formation: 0.1255 eV/atom



Na3Tl4Ag after structural relaxation. Source: Alexandria via LeMat-Bulk, functional PBE.

Cell: 4.931 4.931 9.361 Å, 104.91 104.91 90.45°
Positions (direct):
1 Na 0.000 0.500 0.000
2 Na 0.750 0.250 0.500
3 Na 0.250 0.750 0.500
4 Ag 0.500 0.000 0.000
5 Tl 0.616 0.617 0.232
6 Tl 0.117 0.116 0.232
7 Tl 0.883 0.884 0.768
8 Tl 0.384 0.383 0.768

- Raw total energy: -2.10 eV/atom
- Energy of formation: -0.0642 eV/atom



NaTl2Ag after structural relaxation. Source: Alexandria via LeMat-Bulk, functional PBE.

Cell: 5.333 5.367 6.946 Å, 90.00 90.00 90.00°
Positions (direct):
1 Na 0.500 0.686 0.000
2 Na 0.000 0.314 0.500
3 Ag 0.500 0.692 0.500
4 Ag 0.000 0.308 0.000
5 Tl 0.500 0.198 0.251
6 Tl 0.000 0.802 0.751
7 Tl 0.500 0.198 0.749
8 Tl 0.000 0.802 0.249

- Raw total energy: -2.25 eV/atom
- Energy of formation: -0.0212 eV/atom



NaTl2Ag after structural relaxation. Source: Alexandria via LeMat-Bulk, functional PBE.

Cell: 4.582 4.685 4.685 Å, 90.00 90.00 90.00°
Positions (direct):
1 Tl 0.000 0.500 0.000
2 Tl 0.000 0.000 0.500
3 Ag 0.500 0.000 0.000
4 Na 0.500 0.500 0.500

- Raw total energy: -2.22 eV/atom
- Energy of formation: 0.0024 eV/atom



Na5Tl2Ag after structural relaxation. Source: Alexandria via LeMat-Bulk, functional PBE.

Cell: 4.804 6.765 13.577 Å, 90.00 90.00 90.00°
Positions (direct):
1 Ag 0.000 0.500 0.000
2 Ag 0.000 0.000 0.500
3 Na 0.000 0.469 0.761
4 Na 0.500 0.226 0.876
5 Na 0.500 0.726 0.624
6 Na 0.000 0.000 0.000
7 Na 0.500 0.274 0.376
8 Na 0.000 0.969 0.739
9 Na 0.000 0.500 0.500
10 Na 0.000 0.031 0.261
11 Na 0.000 0.531 0.239
12 Na 0.500 0.774 0.124
13 Tl 0.500 0.294 0.110
14 Tl 0.500 0.794 0.390
15 Tl 0.500 0.206 0.610
16 Tl 0.500 0.706 0.890

- Raw total energy: -1.83 eV/atom
- Energy of formation: -0.0593 eV/atom



NaTl2Ag after structural relaxation. Source: Alexandria via LeMat-Bulk, functional PBE.

Cell: 3.673 3.673 7.597 Å, 90.00 90.00 90.00°
Positions (direct):
1 Tl 0.000 0.000 0.776
2 Tl 0.000 0.000 0.224
3 Na 0.500 0.500 0.500
4 Ag 0.500 0.500 0.000

- Raw total energy: -2.25 eV/atom
- Energy of formation: -0.0286 eV/atom



Na7Tl4Ag after structural relaxation. Source: Alexandria via LeMat-Bulk, functional PBE.

Cell: 5.709 6.866 10.438 Å, 86.94 74.13 65.43°
Positions (direct):
1 Na 0.199 0.512 0.089
2 Na 0.098 0.113 0.692
3 Na 0.500 0.000 0.000
4 Na 0.902 0.887 0.308
5 Na 0.801 0.488 0.911
6 Na 0.589 0.261 0.560
7 Na 0.411 0.739 0.440
8 Tl 0.282 0.647 0.789
9 Tl 0.718 0.353 0.211
10 Tl 0.166 0.291 0.378
11 Tl 0.834 0.709 0.622
12 Ag 0.000 0.000 0.000

- Raw total energy: -1.82 eV/atom
- Energy of formation: -0.0255 eV/atom



Na2TlAg after structural relaxation. Source: Alexandria via LeMat-Bulk, functional PBE.

Cell: 5.120 5.110 9.436 Å, 90.00 90.00 120.07°
Positions (direct):
1 Na 0.667 0.335 0.420
2 Na 0.667 0.335 0.080
3 Na 0.333 0.665 0.580
4 Na 0.333 0.665 0.920
5 Ag 0.665 0.331 0.750
6 Ag 0.335 0.669 0.250
7 Tl 0.001 0.002 0.250
8 Tl 0.999 0.998 0.750

- Raw total energy: -2.02 eV/atom
- Energy of formation: -0.0582 eV/atom



Na2Tl3Ag after structural relaxation. Source: Alexandria via LeMat-Bulk, functional PBE.

Cell: 3.497 5.130 9.033 Å, 90.00 90.00 90.00°
Positions (direct):
1 Tl 0.500 0.000 0.838
2 Tl 0.500 0.000 0.178
3 Tl 0.500 0.500 0.651
4 Na 0.000 0.500 0.017
5 Na 0.000 0.000 0.488
6 Ag 0.500 0.500 0.328

- Raw total energy: -2.15 eV/atom
- Energy of formation: -0.0514 eV/atom